Material: TlPbWO4
Method: DFT, PBE+U
State: relaxed

```
TlPbWO4
1.0
6.560 0.000 0.000
0.000 6.236 0.000
-1.006 0.000 8.287
Tl Pb W O
2 2 2 8
Cartesian
0.932 1.559 3.472
4.622 4.677 4.815
2.060 4.677 7.800
3.494 1.559 0.487
-0.756 1.559 6.712
6.310 4.677 1.575
-0.212 0.117 5.748
-0.212 3.001 5.748
1.076 1.559 0.053
1.568 4.677 1.416
3.987 1.559 6.871
4.479 4.677 8.234
5.767 3.235 2.539
5.767 6.119 2.539
```

Properties
Electronic total energy   -6.11 eV per atom
D(E_F)   0.24 states/eV per atom
Spin magnetization   0.000 μB per atom